The following is a DFT calculation (PBE) of a geometry-optimized SbIrS2N structure.

Lattice parameters (Å, degrees): 4.9230 4.9230 3.6823 90.00 90.00 90.00
Positions (direct):
Sb  0.0000  0.0000  0.0000
Ir  0.5000  0.5000  0.5000
S  0.0000  0.5000  0.5000
S  0.5000  0.0000  0.5000
N  0.5000  0.5000  0.0000

The value obtained for the relative energy among the computed polymorphs is 0 meV per atom. The formation energy (no corrections) comes out at 0.3331 eV/atom. As for the symmetry: No. 123. The total energy is -27.90 eV for the cell shown. The density of states at the Fermi level comes out at 0.320 states/eV per atom.


The following is a DFT calculation (PBE) of a geometry-optimized SbIrS2N structure.

Lattice parameters (Å, degrees): 5.0010 5.0010 3.7707 90.00 90.00 90.00
Positions (direct):
Sb  0.0000  0.0000  0.0000
Ir  0.5000  0.5000  0.5000
S  0.0000  0.5000  0.0000
S  0.5000  0.0000  0.0000
N  0.0000  0.0000  0.5000

The value obtained for the relative energy among the computed polymorphs is 1263 meV per atom. The formation energy (no corrections) comes out at 1.5958 eV/atom. As for the symmetry: No. 123. The total energy is -21.58 eV for the cell shown. The density of states at the Fermi level comes out at 1.349 states/eV per atom.